Record 1
Entry from Alexandria: a geometry-optimized LiNi4O5 structure (PBE+U).

Summary:
E_tot, eV/f.u.: -48.45

a = 5.107 Å, b = 5.107 Å, c = 5.107 Å
α = 99.59°, β = 99.59°, γ = 131.82°
Element x y z (fractional)
Li1 0.000 0.000 0.000
Ni1 0.203 0.399 0.602
Ni2 0.399 0.797 0.195
Ni3 0.601 0.203 0.805
Ni4 0.797 0.601 0.398
O1 0.103 0.691 0.794
O2 0.309 0.103 0.411
O3 0.500 0.500 0.000
O4 0.691 0.897 0.589
O5 0.897 0.309 0.206

Record 2
Entry from Alexandria: a geometry-optimized Li3NiO structure (PBE+U).

Summary:
E_tot, eV/f.u.: -15.55

a = 3.829 Å, b = 3.829 Å, c = 3.829 Å
α = 90.00°, β = 90.00°, γ = 90.00°
Element x y z (fractional)
Li1 0.000 0.000 0.500
Li2 0.000 0.500 0.000
Li3 0.500 0.000 0.000
Ni1 0.500 0.500 0.500
O1 0.000 0.000 0.000

Record 3
Entry from Alexandria: a geometry-optimized Li2NiO structure (PBE+U).

Summary:
E_tot, eV/f.u.: -14.06

a = 5.504 Å, b = 5.504 Å, c = 5.504 Å
α = 96.47°, β = 96.47°, γ = 140.77°
Element x y z (fractional)
Li1 0.375 0.205 0.330
Li2 0.795 0.125 0.170
Li3 0.875 0.045 0.670
Li4 0.955 0.625 0.830
Ni1 0.250 0.750 0.500
Ni2 0.500 0.500 0.000
O1 0.000 0.000 0.000
O2 0.750 0.250 0.500

Record 4
Entry from Alexandria: a geometry-optimized Li12Ni11O28 structure (PBE+U).

Summary:
E_tot, eV/f.u.: -244.29

a = 5.905 Å, b = 6.423 Å, c = 12.900 Å
α = 84.19°, β = 83.80°, γ = 73.65°
Element x y z (fractional)
Li1 0.000 0.000 0.000
Li2 0.009 0.385 0.626
Li3 0.050 0.458 0.309
Li4 0.204 0.258 0.867
Li5 0.213 0.787 0.357
Li6 0.350 0.130 0.432
Li7 0.415 0.065 0.209
Li8 0.565 0.923 0.781
Li9 0.650 0.833 0.564
Li10 0.741 0.186 0.644
Li11 0.784 0.721 0.141
Li12 0.856 0.644 0.936
Ni1 0.059 0.918 0.784
Ni2 0.133 0.851 0.571
Ni3 0.279 0.711 0.140
Ni4 0.347 0.637 0.928
Ni5 0.418 0.555 0.715
Ni6 0.492 0.492 0.498
Ni7 0.567 0.428 0.284
Ni8 0.638 0.347 0.070
Ni9 0.705 0.273 0.857
Ni10 0.852 0.138 0.428
Ni11 0.927 0.067 0.214
O1 0.018 0.763 0.236
O2 0.049 0.146 0.530
O3 0.101 0.678 0.033
O4 0.103 0.114 0.320
O5 0.161 0.612 0.823
O6 0.190 0.009 0.118
O7 0.241 0.543 0.604
O8 0.264 0.930 0.883
O9 0.321 0.461 0.388
O10 0.324 0.860 0.681
O11 0.384 0.402 0.178
O12 0.399 0.799 0.476
O13 0.451 0.331 0.963
O14 0.482 0.723 0.239
O15 0.496 0.260 0.760
O16 0.540 0.652 0.034
O17 0.584 0.185 0.521
O18 0.602 0.578 0.822
O19 0.663 0.517 0.610
O20 0.666 0.124 0.318
O21 0.726 0.053 0.114
O22 0.747 0.444 0.394
O23 0.796 0.970 0.879
O24 0.822 0.373 0.178
O25 0.878 0.317 0.961
O26 0.883 0.880 0.678
O27 0.939 0.844 0.470
O28 0.971 0.218 0.761